A relaxed structure of Ag2HgAu. Source: Alexandria via LeMat-Bulk, functional GGA-PBEsol.

```
Ag2HgAu
1.0
2.971 0.000 0.000
-1.485 2.573 0.000
0.000 0.000 27.870
Ag Hg Au
6 3 3
Cartesian
0.000 0.000 6.902
0.000 0.000 20.968
0.000 1.715 11.678
0.000 1.715 25.482
1.485 0.858 2.388
1.485 0.858 16.192
0.000 0.000 0.000
0.000 1.715 18.580
1.485 0.858 9.290
0.000 0.000 13.935
0.000 1.715 4.645
1.485 0.858 23.225
```

crystal system: trigonal
DOS(E_F): 4.30 states/eV/cell
DFT total energy: -33.2 eV per cell
symmetry: R-3m